Entry 1:
Compound: RbCdBiBr6
Source: Alexandria via LeMat-Bulk
Functional: PBE
Structure: relaxed

Values from the calculation:
The theoretical density comes out at 4.05 g/cm³. As for the volume: 363.7 Å³/cell. Its total magnetization is 0.0 Bohr magnetons per cell. Its symmetry is P312, No. 149. The value obtained for the formation energy without anion corrections is -1.025 eV per atom.

Cell and atoms, written as POSCAR:
```
RbCdBiBr6
1.0
7.4089 0.0000 0.0000
-3.7044 6.4163 0.0000
0.0000 0.0000 7.6509
Rb Cd Bi Br
1 1 1 6
Cartesian
0.0000 0.0000 0.0000
3.7044 2.1388 3.8254
0.0000 4.2775 3.8254
2.7718 0.0472 5.4785
1.4268 2.3768 2.1723
4.6371 0.0472 2.1723
2.3595 3.9922 5.4785
5.9821 2.3768 5.4785
5.0494 3.9922 2.1723
```

***

Entry 2:
Compound: CrPb2Se
Source: Alexandria via LeMat-Bulk
Functional: PBE
Structure: relaxed

Values from the calculation:
The theoretical density comes out at 8.90 g/cm³. As for the volume: 101.8 Å³/cell. Its total magnetization is 4.3 Bohr magnetons per cell. Its symmetry is P4/mmm, No. 123. The value obtained for the formation energy without anion corrections is 0.289 eV per atom.

Cell and atoms, written as POSCAR:
```
CrPb2Se
1.0
4.0415 0.0000 0.0000
0.0000 4.0415 0.0000
0.0000 0.0000 6.2317
Cr Pb Se
1 2 1
Cartesian
0.0000 0.0000 0.0000
2.0208 2.0208 1.5583
2.0208 2.0208 4.6733
0.0000 0.0000 3.1158
```

***

Entry 3:
Compound: Zr3AlCl
Source: Alexandria via LeMat-Bulk
Functional: PBE
Structure: relaxed

Values from the calculation:
The theoretical density comes out at 5.14 g/cm³. As for the volume: 108.7 Å³/cell. Its total magnetization is 0.0 Bohr magnetons per cell. As for the energy above the lowest structure with this stoichiometry: 0.0 meV/atom. Its symmetry is Pm-3m, No. 221. The value obtained for the formation energy without anion corrections is -0.049 eV per atom.

Cell and atoms, written as POSCAR:
```
Zr3AlCl
1.0
4.7719 0.0000 0.0000
0.0000 4.7719 0.0000
0.0000 0.0000 4.7719
Zr Al Cl
3 1 1
Cartesian
0.0000 0.0000 2.3859
0.0000 2.3859 0.0000
2.3859 0.0000 0.0000
2.3859 2.3859 2.3859
0.0000 0.0000 0.0000
```

***

Entry 4:
Compound: Ta2AsHRu
Source: Alexandria via LeMat-Bulk
Functional: PBE
Structure: relaxed

Values from the calculation:
The theoretical density comes out at 11.40 g/cm³. As for the volume: 78.5 Å³/cell. Its total magnetization is 0.0 Bohr magnetons per cell. The electronic total energy is -38.8 eV/cell. Its symmetry is P4/mmm, No. 123.

Cell and atoms, written as POSCAR:
```
Ta2AsHRu
1.0
4.9255 0.0000 0.0000
0.0000 4.9255 0.0000
0.0000 0.0000 3.2364
Ta As H Ru
2 1 1 1
Cartesian
0.0000 2.4628 0.0000
2.4628 0.0000 0.0000
0.0000 0.0000 1.6182
2.4628 2.4628 1.6182
2.4628 2.4628 0.0000
```

***

Entry 5:
Compound: Tl3PPt
Source: Alexandria via LeMat-Bulk
Functional: PBE
Structure: relaxed

Values from the calculation:
The theoretical density comes out at 9.32 g/cm³. The formation energy is 0.3609 eV per atom. As for the volume: 149.6 Å³/cell. Its total magnetization is 1.0 Bohr magnetons per cell. As for the energy above the lowest structure with this stoichiometry: 0.0 meV/atom. Its symmetry is Pm-3m, No. 221.

Cell and atoms, written as POSCAR:
```
Tl3PPt
1.0
5.3081 0.0000 0.0000
0.0000 5.3081 0.0000
0.0000 0.0000 5.3081
Tl P Pt
3 1 1
Cartesian
0.0000 0.0000 2.6541
0.0000 2.6541 0.0000
2.6541 0.0000 0.0000
2.6541 2.6541 2.6541
0.0000 0.0000 0.0000
```

***

Entry 6:
Compound: Ho3Tm2Mg
Source: Alexandria via LeMat-Bulk
Functional: PBE
Structure: relaxed

Values from the calculation:
The theoretical density comes out at 7.95 g/cm³. The formation energy is 0.0212 eV per atom. As for the volume: 357.8 Å³/cell. Its total magnetization is 0.0 Bohr magnetons per cell. As for the energy above the lowest structure with this stoichiometry: 29.3 meV/atom. Its symmetry is C2/c, No. 15.

Cell and atoms, written as POSCAR:
```
Ho3Tm2Mg
1.0
8.5739 -3.4868 0.0000
8.5739 3.4868 0.0000
-1.3839 0.0000 5.9838
Ho Tm Mg
6 4 2
Cartesian
2.8445 0.8681 0.1641
7.5359 2.5946 4.4878
2.1526 -0.8681 3.1560
13.6112 0.8681 2.8278
8.2279 -2.5946 1.4959
12.9192 -0.8681 5.8197
5.0890 0.8566 2.7798
4.3971 -0.8566 5.7717
11.3667 0.8566 0.2121
10.6747 -0.8566 3.2040
8.2279 0.8814 1.4959
7.5359 -0.8814 4.4878
```

***

Entry 7:
Compound: Mg2Ge
Source: Alexandria via LeMat-Bulk
Functional: PBE
Structure: relaxed

Values from the calculation:
The theoretical density comes out at 3.10 g/cm³. The formation energy is 0.1829 eV per atom. As for the volume: 129.8 Å³/cell. Its total magnetization is 0.0 Bohr magnetons per cell. Its symmetry is Fd-3m, No. 227.

Cell and atoms, written as POSCAR:
```
Mg2Ge
1.0
0.0000 4.0185 4.0185
4.0185 0.0000 4.0185
4.0185 4.0185 0.0000
Mg Ge
4 2
Cartesian
0.0000 0.0000 0.0000
2.0092 2.0092 0.0000
2.0092 0.0000 2.0092
0.0000 2.0092 2.0092
3.0139 3.0139 3.0139
5.0231 5.0231 5.0231
```

***

Entry 8:
Compound: ZnHSe2Br
Source: Alexandria via LeMat-Bulk
Functional: PBE
Structure: relaxed

Values from the calculation:
The theoretical density comes out at 4.50 g/cm³. As for the volume: 112.4 Å³/cell. Its total magnetization is 0.0 Bohr magnetons per cell. As for the energy above the lowest structure with this stoichiometry: 0.0 meV/atom. Its symmetry is P4/mmm, No. 123.

Cell and atoms, written as POSCAR:
```
ZnHSe2Br
1.0
3.9193 0.0000 0.0000
0.0000 3.9193 0.0000
0.0000 0.0000 7.3164
Zn H Se Br
1 1 2 1
Cartesian
0.0000 0.0000 0.0000
1.9596 1.9596 3.6582
0.0000 1.9596 3.6582
1.9596 0.0000 3.6582
1.9596 1.9596 0.0000
```

***

Entry 9:
Compound: Er4Al5Ga6
Source: Alexandria via LeMat-Bulk
Functional: PBE
Structure: relaxed

Values from the calculation:
The theoretical density comes out at 6.61 g/cm³. The formation energy is -0.4446 eV per atom. As for the volume: 614.2 Å³/cell. Its total magnetization is 0.0 Bohr magnetons per cell. Its symmetry is Cmc2_1, No. 36.

Cell and atoms, written as POSCAR:
```
Er4Al5Ga6
1.0
2.1452 -9.3838 0.0000
2.1452 9.3838 0.0000
0.0000 0.0000 15.2572
Er Al Ga
8 10 12
Cartesian
2.1452 8.9895 7.6286
2.1452 8.7385 11.7570
2.1452 6.3097 4.6751
2.1452 6.0819 14.4268
2.1452 -6.0819 6.7982
2.1452 -6.3097 12.3037
2.1452 -8.7385 4.1284
2.1452 -8.9895 0.0000
2.1452 6.5407 9.6248
2.1452 3.6844 9.5103
2.1452 2.9806 4.2805
2.1452 2.8273 14.9853
2.1452 1.1926 10.5576
2.1452 -1.1926 2.9290
2.1452 -2.8273 7.3567
2.1452 -2.9806 11.9091
2.1452 -3.6844 1.8817
2.1452 -6.5407 1.9962
2.1452 7.3378 1.7694
2.1452 5.1728 7.4052
2.1452 5.0028 11.7227
2.1452 1.3320 6.3233
2.1452 1.2929 2.0432
2.1452 1.0769 13.1295
2.1452 -1.0769 5.5009
2.1452 -1.2929 9.6718
2.1452 -1.3320 13.9518
2.1452 -5.0028 4.0942
2.1452 -5.1728 15.0337
2.1452 -7.3378 9.3979
```

***

Entry 10:
Compound: NdCu5Rh2
Source: Alexandria via LeMat-Bulk
Functional: PBE
Structure: relaxed

Values from the calculation:
The theoretical density comes out at 8.70 g/cm³. The formation energy is -0.0463 eV per atom. As for the volume: 127.4 Å³/cell. Its total magnetization is 0.0 Bohr magnetons per cell. Its symmetry is Immm, No. 71.

Cell and atoms, written as POSCAR:
```
NdCu5Rh2
1.0
-1.9281 3.6171 4.5684
1.9281 -3.6171 4.5684
1.9281 3.6171 -4.5684
Nd Cu Rh
1 5 2
Cartesian
0.0000 0.0000 0.0000
1.9281 2.3665 -1.2870
1.9281 2.3665 1.2870
0.0000 3.6171 0.0000
0.0000 1.2506 3.2814
0.0000 1.2506 5.8553
1.9281 0.0000 2.0802
0.0000 3.6171 2.4881
```

***

Entry 11:
Compound: YAgPb2
Source: Alexandria via LeMat-Bulk
Functional: PBE
Structure: relaxed

Values from the calculation:
The theoretical density comes out at 9.50 g/cm³. The formation energy is -0.1638 eV per atom. As for the volume: 106.9 Å³/cell. Its total magnetization is 0.0 Bohr magnetons per cell. Its symmetry is Pm, No. 6.

Cell and atoms, written as POSCAR:
```
YAgPb2
1.0
3.6103 0.0000 0.0000
0.0000 4.4964 0.0000
-0.0374 0.0000 6.5820
Y Ag Pb
1 1 2
Cartesian
0.0000 0.0000 0.0000
1.7824 2.2482 4.9202
-0.0193 0.0000 3.4055
1.7987 2.2482 1.5196
```

***

Entry 12:
Compound: Mg2CuW
Source: Alexandria via LeMat-Bulk
Functional: PBE
Structure: relaxed

Values from the calculation:
The theoretical density comes out at 7.37 g/cm³. The formation energy is 0.6203 eV per atom. As for the volume: 66.7 Å³/cell. Its total magnetization is 2.4 Bohr magnetons per cell. As for the energy above the lowest structure with this stoichiometry: 396.0 meV/atom. Its symmetry is F-43m, No. 216.

Cell and atoms, written as POSCAR:
```
Mg2CuW
1.0
0.0000 3.2186 3.2186
3.2186 0.0000 3.2186
3.2186 3.2186 0.0000
Mg Cu W
2 1 1
Cartesian
0.0000 0.0000 0.0000
1.6093 1.6093 1.6093
4.8279 4.8279 4.8279
3.2186 3.2186 3.2186
```